# 1
The following is a DFT calculation (PBE) of a relaxed structure of RhSeO2. Values from VASP.

Quantum ESPRESSO input file:
```
&SYSTEM
  ibrav = 0, nat = 4, ntyp = 3
/
ATOMIC_SPECIES
Rh 102.91 Rh.upf
Se 78.96 Se.upf
O 16.00 O.upf
ATOMIC_POSITIONS crystal
Rh 0.000 0.000 0.000
Se 0.500 0.500 0.500
O 0.388 0.388 0.388
O 0.612 0.612 0.612
CELL_PARAMETERS angstrom
1.570 0.906 6.127
-1.570 0.906 6.127
0.000 -1.812 6.127
```

* energy relative to the elements, uncorrected: -0.386 eV/atom
* space group: R-3m

=====

# 2
The following is a DFT calculation (PBE) of a relaxed structure of Rb2OsRh2. Values from VASP.

Quantum ESPRESSO input file:
```
&SYSTEM
  ibrav = 0, nat = 10, ntyp = 3
/
ATOMIC_SPECIES
Rb 85.47 Rb.upf
Os 190.23 Os.upf
Rh 102.91 Rh.upf
ATOMIC_POSITIONS crystal
Rb 0.121 0.379 0.000
Rb 0.379 0.879 0.000
Rb 0.621 0.121 0.000
Rb 0.879 0.621 0.000
Os 0.000 0.000 0.000
Os 0.500 0.500 0.000
Rh 0.185 0.685 0.500
Rh 0.315 0.185 0.500
Rh 0.685 0.815 0.500
Rh 0.815 0.315 0.500
CELL_PARAMETERS angstrom
9.277 0.000 0.000
0.000 9.277 0.000
0.000 0.000 2.748
```

* space group: P4/mbm
* energy above the lowest structure with this stoichiometry: 511 meV/atom
* ΔH_f (0 K): 182 kJ/mol of atoms

=====

# 3
The following is a DFT calculation (PBE) of a relaxed structure of PrInCu3. Values from VASP.

Quantum ESPRESSO input file:
```
&SYSTEM
  ibrav = 0, nat = 10, ntyp = 3
/
ATOMIC_SPECIES
Pr 140.91 Pr.upf
In 114.82 In.upf
Cu 63.55 Cu.upf
ATOMIC_POSITIONS crystal
Pr 0.079 0.921 0.750
Pr 0.921 0.079 0.250
In 0.206 0.794 0.250
In 0.794 0.206 0.750
Cu 0.314 0.686 0.250
Cu 0.372 0.628 0.750
Cu 0.472 0.528 0.750
Cu 0.528 0.472 0.250
Cu 0.628 0.372 0.250
Cu 0.686 0.314 0.750
CELL_PARAMETERS angstrom
1.958 -12.466 0.000
1.958 12.466 0.000
0.000 0.000 4.029
```

* space group: Cmcm
* ΔH_f (0 K): -11 kJ/mol of atoms

=====

# 4
The following is a DFT calculation (PBE) of a relaxed structure of LaNd2SmHo2. Values from VASP.

Quantum ESPRESSO input file:
```
&SYSTEM
  ibrav = 0, nat = 12, ntyp = 4
/
ATOMIC_SPECIES
La 138.91 La.upf
Nd 144.24 Nd.upf
Sm 150.36 Sm.upf
Ho 164.93 Ho.upf
ATOMIC_POSITIONS crystal
La 0.000 0.000 0.000
La 0.500 0.500 0.500
Nd 0.248 0.333 0.000
Nd 0.252 0.833 0.500
Nd 0.748 0.167 0.500
Nd 0.752 0.667 0.000
Sm 0.000 0.500 0.500
Sm 0.500 0.000 0.000
Ho 0.250 0.166 0.500
Ho 0.250 0.666 0.000
Ho 0.750 0.334 0.000
Ho 0.750 0.834 0.500
CELL_PARAMETERS angstrom
7.090 0.000 0.000
0.000 9.972 0.000
0.000 0.000 5.745
```

* space group: Pnnm
* ΔH_f (0 K): 6 kJ/mol of atoms

=====

# 5
The following is a DFT calculation (PBE) of a relaxed structure of CuB2W2. Values from VASP.

Quantum ESPRESSO input file:
```
&SYSTEM
  ibrav = 0, nat = 10, ntyp = 3
/
ATOMIC_SPECIES
Cu 63.55 Cu.upf
B 10.81 B.upf
W 183.84 W.upf
ATOMIC_POSITIONS crystal
Cu 0.000 0.000 0.000
Cu 0.500 0.500 0.000
B 0.110 0.390 0.000
B 0.390 0.890 0.000
B 0.610 0.110 0.000
B 0.890 0.610 0.000
W 0.177 0.677 0.500
W 0.323 0.177 0.500
W 0.677 0.823 0.500
W 0.823 0.323 0.500
CELL_PARAMETERS angstrom
5.783 0.000 0.000
0.000 5.783 0.000
0.000 0.000 3.220
```

* space group: P4/mbm
* ΔH_f (0 K): -14 kJ/mol of atoms

=====

# 6
The following is a DFT calculation (PBE) of a relaxed structure of Tl14Sn2S9. Values from VASP.

Quantum ESPRESSO input file:
```
&SYSTEM
  ibrav = 0, nat = 25, ntyp = 3
/
ATOMIC_SPECIES
Tl 204.38 Tl.upf
Sn 118.71 Sn.upf
S 32.06 S.upf
ATOMIC_POSITIONS crystal
Tl 0.000 0.023 0.253
Tl 0.000 0.977 0.747
Tl 0.020 0.338 0.913
Tl 0.037 0.662 0.593
Tl 0.332 0.356 0.583
Tl 0.335 0.998 0.409
Tl 0.336 0.315 0.078
Tl 0.346 0.001 0.912
Tl 0.654 0.999 0.088
Tl 0.664 0.685 0.922
Tl 0.665 0.002 0.591
Tl 0.668 0.644 0.417
Tl 0.963 0.338 0.407
Tl 0.980 0.662 0.087
Sn 0.329 0.646 0.248
Sn 0.671 0.354 0.752
S 0.000 0.000 0.000
S 0.032 0.683 0.330
S 0.302 0.349 0.332
S 0.318 0.651 0.023
S 0.333 0.031 0.654
S 0.667 0.969 0.346
S 0.682 0.349 0.977
S 0.698 0.651 0.668
S 0.968 0.317 0.670
CELL_PARAMETERS angstrom
8.969 0.000 0.000
0.126 9.015 0.000
3.111 2.965 10.550
```

* energy relative to the elements, uncorrected: -0.340 eV/atom
* space group: P-1

=====

no.,final energy (eV per atom),spin magnetization (μB per atom)
1,-5.57,0.000
2,-3.69,0.633
3,-4.08,0.000
4,-4.66,0.000
5,-8.81,0.000
6,-3.47,0.000